VASP calculation (PBE) on SrPbSN2 after structural relaxation.

The magnetization comes out at 2.4 μB/f.u. As for the calculated volume: 129.6 Å³/f.u. As for the space-group type: No. 123. As for the density of states at the Fermi level: 0.504 states/eV per atom. For the uncorrected formation energy, the calculation gives 1002 meV per atom. The calculation puts the electronic total energy at -4.232 eV/atom.

```
SrPbSN2
1.0
-0.2151 4.4129 -0.1620
-6.2951 -0.3820 -2.0471
-1.3718 0.0874 4.2020
Pb Sr S N
1 1 1 2
direct
0.0000 0.0000 0.0000
0.0000 0.5000 0.0000
0.5000 0.5000 0.5000
0.0000 0.0000 0.5000
0.5000 0.0000 0.0000
```